1.
Pa3Te3C | PBE-GGA | relaxed

a = 7.449 Å, b = 7.449 Å, c = 7.400 Å
α = 97.16°, β = 97.16°, γ = 109.63°
Fractional positions:
Pa 0.099 0.099 0.324
Pa 0.139 0.437 0.792
Pa 0.437 0.139 0.792
Pa 0.563 0.861 0.208
Pa 0.861 0.563 0.208
Pa 0.901 0.901 0.676
Te 0.164 0.836 0.000
Te 0.257 0.743 0.500
Te 0.401 0.401 0.163
Te 0.599 0.599 0.837
Te 0.743 0.257 0.500
Te 0.836 0.164 0.000
C 0.167 0.167 0.640
C 0.833 0.833 0.360

Formation energy from raw total energies = -0.593 eV per atom
Energy = -7.33 eV per atom
SG = No. 12
Density = 9.6 g/cm³
Volume = 26.971 Å³ per atom


2.
Pa3TeC | PBE-GGA | relaxed

a = 4.775 Å, b = 4.775 Å, c = 4.775 Å
α = 90.00°, β = 90.00°, γ = 90.00°
Fractional positions:
Pa 0.000 0.000 0.500
Pa 0.000 0.500 0.000
Pa 0.500 0.000 0.000
Te 0.500 0.500 0.500
C 0.000 0.000 0.000

Formation energy from raw total energies = -0.382 eV per atom
Energy = -8.55 eV per atom
SG = No. 221
Density = 12.7 g/cm³
Volume = 21.773 Å³ per atom


Look up the density of the first one. 9.6 g/cm³


formation energy from raw total energies of number 1 (Pa3Te3C)? -0.593 eV per atom


Among the records above, which one has the highest volume? Pa3Te3C